No. 1
Y2CoW | SCAN | PBEsol geometry

Properties
- Total moment: 0.1 Bohr magnetons per cell
- D(E_F): 5.89 states/eV per cell
- Symmetry: P4/mmm
- E above lowest polymorph: 0.355 eV/atom

a = 3.1844 Å, b = 4.9557 Å, c = 4.9542 Å
α = 90.00°, β = 90.00°, γ = 90.00°
Each line ends with the local moment (μB).
Positions (direct):
Co: 0.5000 0.5000 0.0000  1.41
W: 0.5000 0.0000 0.5000  -0.66
Y: 0.0000 0.5000 0.5000  -0.29
Y: 0.0000 0.0000 0.0000  -0.29

No. 2
Y2CoW | SCAN | PBEsol geometry

Properties
- Total moment: 0.1 Bohr magnetons per cell
- D(E_F): 3.48 states/eV per cell
- Symmetry: R3m
- E above lowest polymorph: 0.000 eV/atom

a = 3.9282 Å, b = 3.9282 Å, c = 7.5753 Å
α = 74.97°, β = 74.97°, γ = 60.00°
Positions (direct):
Y: 0.9703 0.9703 0.0890
Y: 0.7812 0.7812 0.6565
W: 0.2134 0.2134 0.3598
Co: 0.5351 0.5351 0.3947

No. 3
Zn2CoW | SCAN | PBEsol geometry

Properties
- Total moment: 0.0 Bohr magnetons per cell
- D(E_F): 2.65 states/eV per cell
- Symmetry: I-4m2
- E above lowest polymorph: 0.076 eV/atom

a = 3.9014 Å, b = 4.3686 Å, c = 3.9014 Å
α = 116.52°, β = 90.00°, γ = 116.52°
Positions (direct):
Zn: 0.7500 0.5000 0.2500
Zn: 0.0000 0.0000 0.0000
Co: 0.5000 0.0000 0.5000
W: 0.2500 0.5000 0.7500

No. 4
ZnCo6W | SCAN | PBEsol geometry

Properties
- Total moment: 23.8 Bohr magnetons per cell
- D(E_F): 17.19 states/eV per cell
- Symmetry: Cmmm
- Electronic total energy: -23.254 eV/atom

a = 6.1258 Å, b = 6.1258 Å, c = 10.0134 Å
α = 90.00°, β = 90.00°, γ = 109.64°
Each line ends with the local moment (μB).
Positions (direct):
W: 0.0000 0.0000 0.2480  -0.51
W: 0.2455 0.7545 0.5000  -0.38
W: 0.0000 0.0000 0.7520  -0.51
W: 0.7545 0.2455 0.5000  -0.38
Co: 0.0000 0.0000 0.0000  1.21
Co: 0.6249 0.8743 0.3752  0.71
Co: 0.1269 0.3784 0.1242  1.52
Co: 0.8731 0.6216 0.8758  1.52
Co: 0.8743 0.6249 0.6248  0.71
Co: 0.6216 0.8731 0.1242  1.52
Co: 0.1269 0.3784 0.8758  1.52
Co: 0.2498 0.7502 0.7497  1.12
Co: 0.2498 0.7502 0.2503  1.12
Co: 0.5000 0.5000 0.0000  1.81
Co: 0.8731 0.6216 0.1242  1.52
Co: 0.3751 0.1257 0.3752  0.71
Co: 0.6216 0.8731 0.8758  1.52
Co: 0.1257 0.3751 0.3752  0.71
Co: 0.3784 0.1269 0.8758  1.52
Co: 0.7502 0.2498 0.2503  1.12
Co: 0.1257 0.3751 0.6248  0.71
Co: 0.7502 0.2498 0.7497  1.12
Co: 0.5000 0.5000 0.5000  1.42
Co: 0.3751 0.1257 0.6248  0.71
Co: 0.3784 0.1269 0.1242  1.52
Co: 0.6249 0.8743 0.6248  0.71
Co: 0.8743 0.6249 0.3752  0.71
Co: 0.0000 0.0000 0.5000  -0.19
Zn: 0.7528 0.2472 0.0000  -0.08
Zn: 0.2472 0.7528 0.0000  -0.08
Zn: 0.5000 0.5000 0.2503  -0.07
Zn: 0.5000 0.5000 0.7497  -0.07

No. 5
Zn2CoW | SCAN | PBEsol geometry

Properties
- Total moment: 0.0 Bohr magnetons per cell
- D(E_F): 2.27 states/eV per cell
- Symmetry: Immm
- E above lowest polymorph: 0.035 eV/atom

a = 2.6363 Å, b = 4.4393 Å, c = 5.1653 Å
α = 115.45°, β = 104.78°, γ = 90.00°
Positions (direct):
Zn: 0.7304 0.7304 0.4607
Zn: 0.2696 0.2696 0.5393
Co: 0.0000 0.5000 0.0000
W: 0.5000 0.0000 0.0000

No. 6
Zn2CoW | SCAN | PBEsol geometry

Properties
- Total moment: 2.1 Bohr magnetons per cell
- D(E_F): 2.05 states/eV per cell
- Symmetry: Cmmm
- E above lowest polymorph: 0.000 eV/atom

a = 2.5681 Å, b = 4.7931 Å, c = 4.7931 Å
α = 114.66°, β = 90.00°, γ = 90.00°
Each line ends with the local moment (μB).
Positions (direct):
Zn: 0.0000 0.0000 0.5000  0.00
Zn: 0.0000 0.5000 0.0000  0.00
Co: 0.5000 0.0000 0.0000  1.86
W: 0.5000 0.5000 0.5000  0.27

No. 7
ZrCo6W | SCAN | PBEsol geometry

Properties
- Total moment: 0.0 Bohr magnetons per cell
- D(E_F): 19.01 states/eV per cell
- Symmetry: Cmmm
- Electronic total energy: -25.469 eV/atom

a = 6.2310 Å, b = 6.2310 Å, c = 10.1927 Å
α = 90.00°, β = 90.00°, γ = 109.42°
Positions (direct):
Co: 0.6341 0.8807 0.1301
Co: 0.1164 0.3705 0.6202
Co: 0.3659 0.1193 0.1301
Co: 0.8807 0.6341 0.1301
Co: 0.2453 0.7547 0.7423
Co: 0.5000 0.5000 0.0000
Co: 0.8836 0.6295 0.6202
Co: 0.8807 0.6341 0.8699
Co: 0.6295 0.8836 0.3798
Co: 0.0000 0.0000 0.0000
Co: 0.7547 0.2453 0.2577
Co: 0.3705 0.1164 0.3798
Co: 0.2453 0.7547 0.2577
Co: 0.7547 0.2453 0.7423
Co: 0.5000 0.5000 0.5000
Co: 0.8836 0.6295 0.3798
Co: 0.3705 0.1164 0.6202
Co: 0.3659 0.1193 0.8699
Co: 0.0000 0.0000 0.5000
Co: 0.1164 0.3705 0.3798
Co: 0.6341 0.8807 0.8699
Co: 0.6295 0.8836 0.6202
Co: 0.1193 0.3659 0.1301
Co: 0.1193 0.3659 0.8699
Zr: 0.7478 0.2522 0.0000
Zr: 0.5000 0.5000 0.7502
Zr: 0.5000 0.5000 0.2498
Zr: 0.2522 0.7478 0.0000
W: 0.2533 0.7467 0.5000
W: 0.7467 0.2533 0.5000
W: 0.0000 0.0000 0.2485
W: 0.0000 0.0000 0.7515

No. 8
ZrCoW2 | SCAN | PBEsol geometry

Properties
- Total moment: 1.4 Bohr magnetons per cell
- D(E_F): 3.25 states/eV per cell
- Symmetry: Fm-3m
- E above lowest polymorph: 0.509 eV/atom

a = 4.4189 Å, b = 4.4189 Å, c = 4.4189 Å
α = 60.00°, β = 60.00°, γ = 60.00°
Each line ends with the local moment (μB).
Positions (direct):
Co: 0.0000 0.0000 0.0000  1.49
W: 0.2500 0.2500 0.2500  -0.01
W: 0.7500 0.7500 0.7500  -0.01
Zr: 0.5000 0.5000 0.5000  0.01

No. 9
ZrCoW2 | SCAN | PBEsol geometry

Properties
- Total moment: 0.0 Bohr magnetons per cell
- D(E_F): 3.16 states/eV per cell
- Symmetry: Cm
- E above lowest polymorph: 0.384 eV/atom

a = 2.7075 Å, b = 4.8878 Å, c = 5.1020 Å
α = 103.05°, β = 90.00°, γ = 106.08°
Positions (direct):
W: 0.2663 0.5325 0.7800
W: 0.0369 0.0738 0.9748
Co: 0.7256 0.4513 0.3043
Zr: 0.4712 0.9424 0.4409

No. 10
Zr2CoW | SCAN | PBEsol geometry

Properties
- Total moment: 0.0 Bohr magnetons per cell
- D(E_F): 5.01 states/eV per cell
- Symmetry: P4mm
- Electronic total energy: -36.932 eV/atom

a = 2.9762 Å, b = 2.9762 Å, c = 7.8277 Å
α = 90.00°, β = 90.00°, γ = 90.00°
Positions (direct):
Zr: 0.5000 0.5000 0.2945
Zr: 0.0000 0.0000 0.9681
W: 0.5000 0.5000 0.7012
Co: 0.0000 0.0000 0.5362

No. 11
ZrCoW2 | SCAN | PBEsol geometry

Properties
- Total moment: 1.3 Bohr magnetons per cell
- D(E_F): 1.91 states/eV per cell
- Symmetry: P4mm
- E above lowest polymorph: 0.000 eV/atom

a = 3.1672 Å, b = 3.1672 Å, c = 6.2130 Å
α = 90.00°, β = 90.00°, γ = 90.00°
Each line ends with the local moment (μB).
Positions (direct):
Co: 0.5000 0.5000 0.7621  1.55
Zr: 0.0000 0.0000 0.5125  -0.09
W: 0.5000 0.5000 0.2291  -0.11
W: 0.0000 0.0000 0.9963  0.08

No. 12
ZrCo2W | SCAN | PBEsol geometry

Properties
- Total moment: 3.7 Bohr magnetons per cell
- D(E_F): 1.91 states/eV per cell
- Symmetry: Fm-3m
- Electronic total energy: -33.802 eV/atom

a = 4.3197 Å, b = 4.3197 Å, c = 4.3197 Å
α = 60.00°, β = 60.00°, γ = 60.00°
Each line ends with the local moment (μB).
Positions (direct):
Co: 0.7500 0.7500 0.7500  1.62
Co: 0.2500 0.2500 0.2500  1.62
W: 0.0000 0.0000 0.0000  0.45
Zr: 0.5000 0.5000 0.5000  -0.06